(1)
VASP calculation (GGA-PBE) on Pm4ThTe5 after structural relaxation.

Lattice parameters (Å, degrees): 16.145 16.145 16.145 164.11 164.11 22.55
Positions (direct):
Pm: 0.101 0.101 0.000
Pm: 0.303 0.303 0.000
Pm: 0.697 0.697 0.000
Pm: 0.899 0.899 0.000
Th: 0.500 0.500 0.000
Te: 0.000 0.000 0.000
Te: 0.202 0.202 0.000
Te: 0.401 0.401 0.000
Te: 0.599 0.599 0.000
Te: 0.798 0.798 0.000

Calculated values
Symmetry: I4/mmm

***

(2)
VASP calculation (GGA-PBE) on PmTh3Te4 after structural relaxation.

Lattice parameters (Å, degrees): 4.469 4.469 12.609 90.00 90.00 90.00
Positions (direct):
Pm: 0.000 0.000 0.000
Th: 0.000 0.000 0.500
Th: 0.500 0.500 0.252
Th: 0.500 0.500 0.748
Te: 0.000 0.000 0.248
Te: 0.000 0.000 0.752
Te: 0.500 0.500 0.000
Te: 0.500 0.500 0.500

Calculated values
Symmetry: P4/mmm

***

(3)
VASP calculation (GGA-PBE) on Pm2ThTe after structural relaxation.

Lattice parameters (Å, degrees): 5.283 5.283 4.226 90.00 90.00 90.00
Positions (direct):
Pm: 0.000 0.500 0.000
Pm: 0.500 0.000 0.000
Th: 0.000 0.000 0.500
Te: 0.500 0.500 0.500

Calculated values
Symmetry: P4/mmm

***

(4)
VASP calculation (GGA-PBE) on Pm2ThTe5 after structural relaxation.

Lattice parameters (Å, degrees): 8.635 13.947 4.463 90.00 90.00 90.00
Positions (direct):
Pm: 0.026 0.175 0.000
Pm: 0.474 0.675 0.000
Pm: 0.526 0.325 0.000
Pm: 0.974 0.825 0.000
Th: 0.000 0.500 0.500
Th: 0.500 0.000 0.500
Te: 0.000 0.000 0.500
Te: 0.171 0.390 0.000
Te: 0.184 0.697 0.500
Te: 0.316 0.197 0.500
Te: 0.329 0.890 0.000
Te: 0.500 0.500 0.500
Te: 0.671 0.110 0.000
Te: 0.684 0.803 0.500
Te: 0.816 0.303 0.500
Te: 0.829 0.610 0.000

Calculated values
Symmetry: Pbam

***

Number 1: formation energy without anion corrections -1322 meV/atom. Number 2: formation energy without anion corrections -1114 meV/atom. Number 3: formation energy without anion corrections -463 meV/atom. Number 4: formation energy without anion corrections -1256 meV/atom.